The following is a PBE calculation of a relaxed structure of PmGd2Pt, from the Alexandria database.

ΔH_f (0 K) (kJ/mol of atoms): -54.65

```
PmGd2Pt
1.0
3.607 0.000 0.000
0.000 3.607 0.000
0.000 0.000 8.591
Pm Gd Pt
1 2 1
Cartesian
0.000 0.000 0.000 Pm
1.804 1.804 2.642 Gd
1.804 1.804 5.950 Gd
0.000 0.000 4.296 Pt
```

=====

The following is a PBE calculation of a relaxed structure of Pm2SnBr8, from the Alexandria database.

ΔE_f (raw) (eV/atom): -1.46

```
Pm2SnBr8
1.0
7.138 -3.684 0.000
7.138 3.684 0.000
-0.335 0.000 9.068
Pm Sn Br
2 1 8
Cartesian
1.913 0.000 3.440 Pm
12.027 0.000 5.627 Pm
0.000 0.000 0.000 Sn
0.778 0.000 6.145 Br
4.970 1.801 7.684 Br
4.548 0.000 4.240 Br
8.971 1.801 1.384 Br
4.970 -1.801 7.684 Br
9.392 0.000 4.828 Br
8.971 -1.801 1.384 Br
13.163 0.000 2.923 Br
```

=====

The records above yield magnetization values of 14.7, 0.0 Bohr magnetons per cell, respectively.